Record 1
{"formula": "Ac3Si2Ni4Sn2", "functional": "PBE", "state": "optimized geometry", "lattice": [[4.240, 0.000, 0.000], [-2.120, 3.672, 0.000], [0.000, 0.000, 16.223]], "species": ["Ac", "Ac", "Ac", "Si", "Si", "Ni", "Ni", "Ni", "Ni", "Sn", "Sn"], "frac_coords": [[0.000, 0.000, 0.000], [0.000, 0.000, 0.269], [0.000, 0.000, 0.731], [0.333, 0.667, 0.136], [0.667, 0.333, 0.864], [0.333, 0.667, 0.400], [0.333, 0.667, 0.863], [0.667, 0.333, 0.137], [0.667, 0.333, 0.600], [0.333, 0.667, 0.565], [0.667, 0.333, 0.435]], "volume_a3_per_cell": 252.57, "formation_energy_uncorrected_ev_per_atom": -0.465, "dos_ef_per_ev_atom": 0.95, "magnetic_moment_mub_per_cell": 0.00}



Record 2
{"formula": "KNaNpTe3", "functional": "PBE", "state": "optimized geometry", "lattice": [[9.609, 0.000, 0.000], [0.000, 4.622, 0.000], [-2.909, 0.000, 10.092]], "species": ["K", "K", "Na", "Na", "Np", "Np", "Te", "Te", "Te", "Te", "Te", "Te"], "frac_coords": [[0.223, 0.250, 0.257], [0.777, 0.750, 0.743], [0.075, 0.250, 0.599], [0.925, 0.750, 0.401], [0.324, 0.750, 0.851], [0.676, 0.250, 0.149], [0.125, 0.250, 0.890], [0.256, 0.750, 0.552], [0.463, 0.750, 0.154], [0.537, 0.250, 0.846], [0.744, 0.250, 0.448], [0.875, 0.750, 0.110]], "volume_a3_per_cell": 448.22, "formation_energy_uncorrected_ev_per_atom": -0.782, "dos_ef_per_ev_atom": 1.26, "magnetic_moment_mub_per_cell": 6.00}



Record 3
{"formula": "NdHo4Er4", "functional": "PBE", "state": "optimized geometry", "lattice": [[-5.305, 5.305, 2.492], [5.305, -5.305, 2.492], [5.305, 5.305, -2.492]], "species": ["Nd", "Ho", "Ho", "Ho", "Ho", "Er", "Er", "Er", "Er"], "frac_coords": [[0.000, 0.000, 0.000], [0.000, 0.334, 0.334], [0.000, 0.666, 0.666], [0.334, 0.000, 0.334], [0.666, 0.000, 0.666], [0.332, 0.332, 0.665], [0.332, 0.668, 0.000], [0.668, 0.332, 0.000], [0.668, 0.668, 0.335]], "volume_a3_per_cell": 280.47, "dos_ef_per_ev_atom": 1.42, "magnetic_moment_mub_per_cell": 0.00, "de_polymorph_ev_per_atom": 0.000}



Record 4
{"formula": "Ce2SmHoP4", "functional": "PBE", "state": "optimized geometry", "lattice": [[7.035, 0.000, 0.000], [0.000, 4.069, 0.000], [-2.353, 0.000, 6.644]], "species": ["Ce", "Ce", "Sm", "Ho", "P", "P", "P", "P"], "frac_coords": [[0.000, 0.000, 0.000], [0.000, 0.500, 0.500], [0.500, 0.000, 0.500], [0.500, 0.500, 0.000], [0.249, 0.500, 0.246], [0.252, 0.000, 0.754], [0.748, 0.000, 0.246], [0.751, 0.500, 0.754]], "volume_a3_per_cell": 190.17, "total_energy_ev_per_atom": -6.899, "dos_ef_per_ev_atom": 1.16, "magnetic_moment_mub_per_cell": 0.99}



Record 5
{"formula": "CeDyTeP", "functional": "PBE", "state": "optimized geometry", "lattice": [[2.060, 1.189, 7.353], [-2.060, 1.189, 7.353], [0.000, -2.378, 7.353]], "species": ["Ce", "Dy", "Te", "P"], "frac_coords": [[0.000, 0.000, 0.000], [0.806, 0.806, 0.806], [0.568, 0.568, 0.568], [0.404, 0.404, 0.404]], "volume_a3_per_cell": 108.06, "formation_energy_uncorrected_ev_per_atom": -1.462, "dos_ef_per_ev_atom": 1.55, "magnetic_moment_mub_per_cell": 0.72}



Record 6
{"formula": "CoReTc2", "functional": "PBE", "state": "optimized geometry", "lattice": [[2.698, 0.000, 0.000], [0.000, 3.788, 0.000], [0.000, 0.000, 5.387]], "species": ["Co", "Re", "Tc", "Tc"], "frac_coords": [[0.000, 0.000, 0.000], [0.000, 0.000, 0.500], [0.500, 0.500, 0.234], [0.500, 0.500, 0.766]], "volume_a3_per_cell": 55.06, "dos_ef_per_ev_atom": 1.17, "magnetic_moment_mub_per_cell": 0.48, "de_polymorph_ev_per_atom": 0.057}



Record 7
{"formula": "K4YBr", "functional": "PBE", "state": "optimized geometry", "lattice": [[0.000, 5.479, 5.479], [5.479, 0.000, 5.479], [5.479, 5.479, 0.000]], "species": ["K", "K", "K", "K", "Y", "Br"], "frac_coords": [[0.125, 0.125, 0.125], [0.125, 0.125, 0.624], [0.125, 0.624, 0.125], [0.624, 0.125, 0.125], [0.750, 0.750, 0.750], [0.500, 0.500, 0.500]], "volume_a3_per_cell": 328.95, "formation_energy_uncorrected_ev_per_atom": 0.222, "dos_ef_per_ev_atom": 1.05, "magnetic_moment_mub_per_cell": 0.92}



Record 8
{"formula": "Dy2NpTl3Se6", "functional": "PBE", "state": "optimized geometry", "lattice": [[3.646, -6.313, 0.000], [3.646, 6.313, 0.000], [-2.430, 0.000, 7.753]], "species": ["Dy", "Dy", "Np", "Tl", "Tl", "Tl", "Se", "Se", "Se", "Se", "Se", "Se"], "frac_coords": [[0.167, 0.833, 0.000], [0.833, 0.167, 0.000], [0.500, 0.500, 0.000], [0.000, 0.000, 0.500], [0.334, 0.666, 0.500], [0.666, 0.334, 0.500], [0.095, 0.432, 0.795], [0.231, 0.231, 0.204], [0.432, 0.095, 0.795], [0.568, 0.905, 0.205], [0.769, 0.769, 0.796], [0.905, 0.568, 0.205]], "volume_a3_per_cell": 356.86, "formation_energy_uncorrected_ev_per_atom": -1.215, "dos_ef_per_ev_atom": 0.51, "magnetic_moment_mub_per_cell": 4.00}



Record 9
{"formula": "Sc3MnCo8", "functional": "PBE", "state": "optimized geometry", "lattice": [[2.420, 1.397, 7.901], [-2.420, 1.397, 7.901], [0.000, -2.794, 7.901]], "species": ["Sc", "Sc", "Sc", "Mn", "Co", "Co", "Co", "Co", "Co", "Co", "Co", "Co"], "frac_coords": [[0.000, 0.000, 0.000], [0.128, 0.128, 0.128], [0.508, 0.508, 0.508], [0.630, 0.630, 0.630], [0.063, 0.566, 0.566], [0.067, 0.067, 0.567], [0.067, 0.567, 0.067], [0.316, 0.316, 0.316], [0.566, 0.063, 0.566], [0.566, 0.566, 0.063], [0.567, 0.067, 0.067], [0.816, 0.816, 0.816]], "volume_a3_per_cell": 160.30, "total_energy_ev_per_atom": -7.351, "dos_ef_per_ev_atom": 1.25, "magnetic_moment_mub_per_cell": 13.00}



Record 10
{"formula": "Tb2Pr3In2", "functional": "PBE", "state": "optimized geometry", "lattice": [[2.479, -12.258, 0.000], [2.479, 12.258, 0.000], [0.000, 0.000, 3.553]], "species": ["Tb", "Tb", "Pr", "Pr", "Pr", "In", "In"], "frac_coords": [[0.212, 0.788, 0.000], [0.788, 0.212, 0.000], [0.359, 0.641, 0.500], [0.500, 0.500, 0.500], [0.641, 0.359, 0.500], [0.071, 0.929, 0.000], [0.929, 0.071, 0.000]], "volume_a3_per_cell": 215.98, "dos_ef_per_ev_atom": 1.13, "magnetic_moment_mub_per_cell": 0.00, "de_polymorph_ev_per_atom": 0.000}



Which formula does entry 7 have?
K4YBr